Computed, not measured: a relaxed structure of Ce2ErBi at the PBE level of DFT.

E_tot: -4.9787 eV/atom
V: 31.501 Å³ per atom
Crystal system: trigonal
Energy above the most stable polymorph in this dataset: 500 meV per atom

Lattice parameters (Å, degrees): 3.4352 3.4352 12.4884 82.09 82.09 60.00
With the nearest neighbours (Å) after each atom.
Positions (direct):
Er (0.5000, 0.5000, 0.5000)  6 Er 3.44, 6 Ce 3.51
Ce (0.0882, 0.0882, 0.7353)  1 Bi 3.26, 6 Ce 3.44, 3 Er 3.51
Ce (0.9118, 0.9118, 0.2647)  1 Bi 3.26, 6 Ce 3.44, 3 Er 3.51
Bi (0.0000, 0.0000, 0.0000)  2 Ce 3.26, 6 Bi 3.44